Material: LiTaAl2
Method: DFT, SCAN
State: single point on PBEsol structure

The calculation puts the formation energy at 28 meV/atom. As for the electronic total energy: -21.091 eV per atom. The density is 6.05 g/cm3. As for the volume: 66.3 Å³/cell.

The structure belongs to space group P4mm (No. 99); the cell edges are 2.765, 2.765 and 8.676 Å and the angles 90.00°, 90.00° and 90.00°. The distinct sites, in fractional coordinates, are Li at (0.000, 0.000, 0.000), Ta at (0.500, 0.500, 0.724), Al at (0.000, 0.000, 0.493) and Al at (0.500, 0.500, 0.250).

Material: LiTaAl2
Method: DFT, SCAN
State: single point on PBEsol structure

The calculation puts the formation energy at -197 meV/atom. As for the electronic total energy: -21.316 eV per atom. The density is 6.31 g/cm3. As for the volume: 127.2 Å³/cell.

The structure belongs to space group Cmmm (No. 65); the cell edges are 5.935, 7.567 and 2.833 Å and the angles 90.00°, 90.00° and 90.00°. The distinct sites, in fractional coordinates, are Li at (0.000, 0.000, 0.000), Ta at (0.000, 0.500, 0.000) and Al at (0.250, 0.250, 0.500).

Material: LiYTaAl2
Method: DFT, SCAN
State: single point on PBEsol structure

The calculation puts the formation energy at 1531 meV/atom. As for the electronic total energy: -20.933 eV per atom. The density is 3.77 g/cm3. As for the volume: 145.7 Å³/cell.

The structure belongs to space group P4/mmm (No. 123); the cell edges are 5.413, 5.413 and 4.972 Å and the angles 90.00°, 90.00° and 90.00°. The distinct sites, in fractional coordinates, are Li at (0.000, 0.000, 0.000), Y at (0.500, 0.500, 0.500), Ta at (0.500, 0.500, 0.000) and Al at (0.000, 0.500, 0.500).

Material: Li2AlTc2
Method: DFT, SCAN
State: single point on PBEsol structure

The calculation puts the formation energy at 748 meV/atom. As for the electronic total energy: -15.782 eV per atom. The density is 5.36 g/cm3. As for the volume: 146.9 Å³/cell.

The structure belongs to space group I4/mmm (No. 139); the cell edges are 4.477, 4.477 and 7.327 Å and the angles 90.00°, 90.00° and 90.00°. The distinct sites, in fractional coordinates, are Li at (0.000, 0.500, 0.250), Al at (0.000, 0.000, 0.000) and Tc at (0.000, 0.000, 0.350).

Material: LiAlTc3
Method: DFT, SCAN
State: single point on PBEsol structure

The calculation puts the formation energy at 1517 meV/atom. As for the electronic total energy: -21.548 eV per atom. The density is 6.19 g/cm3. As for the volume: 88.0 Å³/cell.

The structure belongs to space group Pm-3m (No. 221); the cell edges are 4.447, 4.447 and 4.447 Å and the angles 90.00°, 90.00° and 90.00°. The distinct sites, in fractional coordinates, are Li at (0.000, 0.000, 0.000), Al at (0.500, 0.500, 0.500) and Tc at (0.000, 0.500, 0.500).

Material: LiAlTc
Method: DFT, SCAN
State: single point on PBEsol structure

The offset from the most stable computed form comes out at 0 meV/atom. The calculation puts the formation energy at 18 meV/atom. As for the electronic total energy: -15.049 eV per atom. The density is 5.02 g/cm3. As for the volume: 43.6 Å³/cell.

The structure belongs to space group P3m1 (No. 156); the cell edges are 2.7238, 2.7238 and 6.7860 Å and the angles 90.00°, 90.00° and 120.00°. The distinct sites, in fractional coordinates, are Li at (0.0000, 0.0000, 0.0000), Al at (0.3333, 0.6667, 0.3485) and Tc at (0.6667, 0.3333, 0.6632).

Material: LiAlTc2
Method: DFT, SCAN
State: single point on PBEsol structure

The calculation puts the formation energy at -11 meV/atom. As for the electronic total energy: -20.076 eV per atom. The density is 6.83 g/cm3. As for the volume: 111.8 Å³/cell.

The structure belongs to space group Cmmm (No. 65); the cell edges are 3.124, 4.137 and 8.649 Å and the angles 90.00°, 90.00° and 90.00°. The distinct sites, in fractional coordinates, are Li at (0.000, 0.000, 0.000), Al at (0.000, 0.000, 0.500) and Tc at (0.000, 0.500, 0.261).

Material: LiAlTc
Method: DFT, SCAN
State: single point on PBEsol structure

The offset from the most stable computed form comes out at 3 meV/atom. The calculation puts the formation energy at 22 meV/atom. As for the electronic total energy: -15.046 eV per atom. The density is 4.99 g/cm3. As for the volume: 87.8 Å³/cell.

The structure belongs to space group I4mm (No. 107); the cell edges are 2.610, 2.610 and 12.884 Å and the angles 90.00°, 90.00° and 90.00°. The distinct sites, in fractional coordinates, are Li at (0.000, 0.000, 0.000), Al at (0.000, 0.000, 0.324) and Tc at (0.000, 0.000, 0.671).

Material: LiAlTc2
Method: DFT, SCAN
State: single point on PBEsol structure

The calculation puts the formation energy at -330 meV/atom. As for the electronic total energy: -20.396 eV per atom. The density is 7.21 g/cm3. As for the volume: 211.7 Å³/cell.

The structure belongs to space group F-43m (No. 216); the cell edges are 5.960, 5.960 and 5.960 Å and the angles 90.00°, 90.00° and 90.00°. The distinct sites, in fractional coordinates, are Li at (0.000, 0.000, 0.000), Al at (0.250, 0.250, 0.750), Tc at (0.000, 0.000, 0.500) and Tc at (0.250, 0.250, 0.250).

Material: LiAlTc2
Method: DFT, SCAN
State: single point on PBEsol structure

The calculation puts the formation energy at -102 meV/atom. As for the electronic total energy: -20.168 eV per atom. The density is 6.99 g/cm3. As for the volume: 54.6 Å³/cell.

The structure belongs to space group Pm (No. 6); the cell edges are 2.627, 4.245 and 4.944 Å and the angles 90.00°, 97.63° and 90.00°. The distinct sites, in fractional coordinates, are Li at (0.000, 0.000, 0.000), Al at (0.158, 0.500, 0.755), Tc at (0.515, 0.000, 0.486) and Tc at (0.690, 0.500, 0.251).

Material: LiYAlTc2
Method: DFT, SCAN
State: single point on PBEsol structure

The calculation puts the formation energy at 1012 meV/atom. As for the electronic total energy: -20.609 eV per atom. The density is 4.96 g/cm3. As for the volume: 106.7 Å³/cell.

The structure belongs to space group P4/mmm (No. 123); the cell edges are 4.529, 4.529 and 5.203 Å and the angles 90.00°, 90.00° and 90.00°. The distinct sites, in fractional coordinates, are Li at (0.000, 0.000, 0.000), Y at (0.500, 0.500, 0.000), Al at (0.500, 0.500, 0.500) and Tc at (0.000, 0.500, 0.500).

Material: Li2AlTe
Method: DFT, SCAN
State: single point on PBEsol structure

The offset from the most stable computed form comes out at 0 meV/atom. The calculation puts the formation energy without anion corrections at -0.412 eV/atom. As for the electronic total energy: -12.858 eV per atom. The density is 3.59 g/cm3. As for the volume: 78.0 Å³/cell.

The structure belongs to space group P4/mmm (No. 123); the cell edges are 4.374, 4.374 and 4.078 Å and the angles 90.00°, 90.00° and 90.00°. The distinct sites, in fractional coordinates, are Li at (0.000, 0.500, 0.000), Al at (0.000, 0.000, 0.500) and Te at (0.500, 0.500, 0.500).